Crystalline K6HgSe4 at its relaxed geometry. Source: OQMD, functional PBE-GGA.

Output
* energy: -63.97 eV/cell
* space group: P6_3mc

The structure in POSCAR format:
```
K6HgSe4
1.0
10.497 0.000 0.000
-5.248 9.091 0.000
0.000 0.000 8.002
Se Hg K
8 2 12
direct
0.189 0.811 0.105
0.333 0.667 0.655
0.622 0.811 0.105
0.811 0.622 0.605
0.378 0.189 0.605
0.811 0.189 0.605
0.189 0.378 0.105
0.667 0.333 0.155
0.333 0.667 0.002
0.667 0.333 0.502
0.703 0.851 0.706
0.528 0.055 0.878
0.851 0.149 0.206
0.297 0.149 0.206
0.472 0.528 0.378
0.472 0.945 0.378
0.945 0.472 0.878
0.851 0.703 0.206
0.528 0.472 0.878
0.149 0.851 0.706
0.149 0.297 0.706
0.055 0.528 0.378
```